# 1
A plane-wave DFT calculation with PBE was carried out for crystalline ReS2NO at its relaxed geometry.

Lattice parameters (Å, degrees): 4.6320 4.6320 3.7444 90.00 90.00 90.00
Last column: nearest neighbours and their distance in Å.
Positions (direct):
Re  0.0000  0.0000  0.0000  2 N 1.87
S  0.0000  0.5000  0.0000  2 Re 2.32
S  0.5000  0.0000  0.0000  2 Re 2.32
N  0.0000  0.0000  0.5000  2 Re 1.87
O  0.5000  0.5000  0.5000  8 S 2.98, 4 N 3.28

**SG**: P4/mmm
**Total DFT energy (no corrections)**: -0.4352 Ry/atom
**Uncorrected formation energy**: 0.8760 eV per atom
**DOS at the Fermi energy**: 5.26 states/eV/f.u.


# 2
A plane-wave DFT calculation with PBE was carried out for crystalline LiAc2DySe5 at its relaxed geometry.

Lattice parameters (Å, degrees): 9.1938 9.1938 12.6888 90.00 90.00 152.88
Last column: nearest neighbours and their distance in Å.
Positions (direct):
Li  0.0438  0.9562  0.5000  3 Se 2.48-2.50
Li  0.9562  0.0438  0.0000  3 Se 2.48-2.50
Ac  0.3737  0.6263  0.3359  8 Se 3.12-3.35
Ac  0.3931  0.6069  0.7172  8 Se 3.14-3.40
Ac  0.6069  0.3931  0.2172  8 Se 3.14-3.40
Ac  0.6263  0.3737  0.8359  8 Se 3.12-3.35
Dy  0.3009  0.6991  0.0398  6 Se 2.76-2.92
Dy  0.6991  0.3009  0.5398  6 Se 2.76-2.92
Se  0.0013  0.9987  0.8138  1 Li 2.50
Se  0.1397  0.8603  0.0321  1 Dy 2.88
Se  0.1898  0.8102  0.3877  2 Dy 2.90, 1 Li 2.97
Se  0.2144  0.7856  0.6937  2 Dy 2.92, 3 Ac 3.21-3.22
Se  0.4499  0.5501  0.0955  2 Li 2.48, 1 Dy 2.76
Se  0.5501  0.4499  0.5955  2 Li 2.48, 1 Dy 2.76
Se  0.7856  0.2144  0.1937  2 Dy 2.92, 3 Ac 3.21-3.22
Se  0.8102  0.1898  0.8877  2 Dy 2.90, 1 Li 2.97
Se  0.8603  0.1397  0.5321  1 Dy 2.88
Se  0.9987  0.0013  0.3138  1 Li 2.50

**SG**: Cmc2_1
**Total DFT energy (no corrections)**: -0.3999 Ry/atom
**Uncorrected formation energy**: -1.8681 eV per atom


Copy entry 2 word for word.
A plane-wave DFT calculation with PBE was carried out for crystalline LiAc2DySe5 at its relaxed geometry.

Lattice parameters (Å, degrees): 9.1938 9.1938 12.6888 90.00 90.00 152.88
Last column: nearest neighbours and their distance in Å.
Positions (direct):
Li  0.0438  0.9562  0.5000  3 Se 2.48-2.50
Li  0.9562  0.0438  0.0000  3 Se 2.48-2.50
Ac  0.3737  0.6263  0.3359  8 Se 3.12-3.35
Ac  0.3931  0.6069  0.7172  8 Se 3.14-3.40
Ac  0.6069  0.3931  0.2172  8 Se 3.14-3.40
Ac  0.6263  0.3737  0.8359  8 Se 3.12-3.35
Dy  0.3009  0.6991  0.0398  6 Se 2.76-2.92
Dy  0.6991  0.3009  0.5398  6 Se 2.76-2.92
Se  0.0013  0.9987  0.8138  1 Li 2.50
Se  0.1397  0.8603  0.0321  1 Dy 2.88
Se  0.1898  0.8102  0.3877  2 Dy 2.90, 1 Li 2.97
Se  0.2144  0.7856  0.6937  2 Dy 2.92, 3 Ac 3.21-3.22
Se  0.4499  0.5501  0.0955  2 Li 2.48, 1 Dy 2.76
Se  0.5501  0.4499  0.5955  2 Li 2.48, 1 Dy 2.76
Se  0.7856  0.2144  0.1937  2 Dy 2.92, 3 Ac 3.21-3.22
Se  0.8102  0.1898  0.8877  2 Dy 2.90, 1 Li 2.97
Se  0.8603  0.1397  0.5321  1 Dy 2.88
Se  0.9987  0.0013  0.3138  1 Li 2.50

**SG**: Cmc2_1
**Total DFT energy (no corrections)**: -0.3999 Ry/atom
**Uncorrected formation energy**: -1.8681 eV per atom